1.
# CaCu2Ni4 (PBE, optimized geometry)
data_CaCu2Ni4
_chemical_formula_sum 'Ca2 Cu4 Ni8'
_space_group_name_H-M_alt 'C 1 2/m 1'
_space_group_IT_number 12
_cell_length_a 7.8795
_cell_length_b 6.2348
_cell_length_c 4.8189
_cell_angle_alpha 90.00
_cell_angle_beta 127.57
_cell_angle_gamma 90.00
loop_
_space_group_symop_operation_xyz
'x,y,z'
'-x,-y,-z'
'-x,y,-z'
'x,-y,z'
'x+1/2,y+1/2,z'
'-x+1/2,-y+1/2,-z'
'-x+1/2,y+1/2,-z'
'x+1/2,-y+1/2,z'
loop_
_atom_site_label
_atom_site_type_symbol
_atom_site_fract_x
_atom_site_fract_y
_atom_site_fract_z
_atom_site_occupancy
Ca1 Ca 0.0000 0.0000 0.0000 1
Cu1 Cu 0.0002 0.5000 0.2501 1
Ni1 Ni 0.1920 0.1921 0.6921 1
# density: 7.11 g cm⁻³
# D(E_F): 1.59 states/eV/atom

2.
# CaCuNi2 (PBE, optimized geometry)
data_CaCuNi2
_chemical_formula_sum 'Ca2 Cu2 Ni4'
_space_group_name_H-M_alt 'I 4/m m m'
_space_group_IT_number 139
_space_group_name_Hall '-I 4 2'
_cell_length_a 4.0007
_cell_length_b 4.0007
_cell_length_c 7.4439
_cell_angle_alpha 90.00
_cell_angle_beta 90.00
_cell_angle_gamma 90.00
loop_
_atom_site_label
_atom_site_type_symbol
_atom_site_fract_x
_atom_site_fract_y
_atom_site_fract_z
_atom_site_occupancy
Ca1 Ca 0.0000 0.0000 0.0000 1
Cu1 Cu 0.0000 0.0000 0.5000 1
Ni1 Ni 0.0000 0.5000 0.2500 1
# density: 6.16 g cm⁻³
# D(E_F): 0.85 states/eV/atom

3.
# CaCu2Ni2 (PBE, optimized geometry)
data_CaCu2Ni2
_chemical_formula_sum 'Ca2 Cu4 Ni4'
_space_group_name_H-M_alt 'I 4/m m m'
_space_group_IT_number 139
_space_group_name_Hall '-I 4 2'
_cell_length_a 3.9225
_cell_length_b 3.9225
_cell_length_c 10.1656
_cell_angle_alpha 90.00
_cell_angle_beta 90.00
_cell_angle_gamma 90.00
loop_
_atom_site_label
_atom_site_type_symbol
_atom_site_fract_x
_atom_site_fract_y
_atom_site_fract_z
_atom_site_occupancy
Ca1 Ca 0.0000 0.0000 0.0000 1
Cu1 Cu 0.0000 0.5000 0.2500 1
Ni1 Ni 0.0000 0.0000 0.3884 1
# density: 6.04 g cm⁻³
# distance to the lowest polymorph of the same formula: 15 meV per atom
# D(E_F): 0.84 states/eV/atom

What are the energy relative to the elements values for these records? In order: 24, 163, 19 meV/atom.